A plane-wave DFT calculation with GGA-PBE was carried out for an optimized crystal structure of Ce4SmPd15.

Summary:
The calculation puts the formation energy at -0.831 eV per atom. The value obtained for the density is 10645 kg/m³. The magnetic moment comes out at 1.6 Bohr magnetons per cell.

Cell lengths 4.1635, 4.1635, 20.7623 Å; angles 90.00, 90.00, 90.00 degrees
Space group P4/mmm (No. 123)
Unique sites:
Ce  0.0000  0.0000  0.1003 [2 per cell]
Ce  0.0000  0.0000  0.3011 [2 per cell]
Sm  0.0000  0.0000  0.5000 [1 per cell]
Pd  0.0000  0.5000  0.0000 [2 per cell]
Pd  0.0000  0.5000  0.1999 [4 per cell]
Pd  0.0000  0.5000  0.3981 [4 per cell]
Pd  0.5000  0.5000  0.0998 [2 per cell]
Pd  0.5000  0.5000  0.2992 [2 per cell]
Pd  0.5000  0.5000  0.5000 [1 per cell]